DFT (PBEsol) results for crystalline SbRu3N at its relaxed geometry.

POSCAR file:
```
SbRu3N
1.0
4.830 0.000 0.000
0.000 4.830 0.000
0.000 0.000 4.830
Sb Ru N
1 3 1
Direct
0.000 0.000 0.000
0.000 0.000 0.500
0.000 0.500 0.000
0.500 0.000 0.000
0.500 0.500 0.500
```

## Properties
Energy, eV per cell: -28.3
DOS at the Fermi energy, states/eV/f.u.: 6.5
Space group: Pm-3m, No. 221